Entry 1:
ScCr2W (PBE, relaxed); crystal system = cubic; uncorrected energy = -9.410 eV/atom; ΔH_f (0 K) = 0.89 eV per formula unit; relative energy among the computed polymorphs = 0.015 eV/atom
1.0
0.000 3.119 3.119
3.119 0.000 3.119
3.119 3.119 0.000
W Cr Sc
1 2 1
Cartesian
3.119 3.119 3.119
1.559 1.559 1.559
4.678 4.678 4.678
0.000 0.000 0.000

***

Entry 2:
Sc3CrW (PBE, relaxed); crystal system = cubic; uncorrected energy = -7.424 eV/atom; ΔH_f (0 K) = 4.45 eV per formula unit; relative energy among the computed polymorphs = 0.000 eV/atom
1.0
5.068 0.000 0.000
0.000 5.068 0.000
0.000 0.000 5.068
Cr Sc W
1 3 1
Cartesian
2.534 2.534 2.534
2.534 0.000 0.000
0.000 2.534 0.000
0.000 0.000 2.534
0.000 0.000 0.000

***

Entry 3:
ScCrW2 (PBE, relaxed); crystal system = monoclinic; uncorrected energy = -10.171 eV/atom; ΔH_f (0 K) = 1.18 eV per formula unit; relative energy among the computed polymorphs = 0.124 eV/atom
1.0
5.226 0.003 0.011
-2.362 4.733 -0.004
0.501 0.765 2.582
Cr W Sc
1 2 1
Cartesian
-0.930 2.749 1.289
0.000 0.000 0.000
2.864 0.384 1.296
1.432 2.368 0.004

***

Entry 4:
ScCrW2 (PBE, relaxed); crystal system = tetragonal; uncorrected energy = -10.217 eV/atom; ΔH_f (0 K) = 0.99 eV per formula unit; relative energy among the computed polymorphs = 0.078 eV/atom
1.0
-0.627 2.125 2.087
-2.963 -0.229 -0.657
-0.694 -4.982 4.864
W Sc Cr
2 1 1
Cartesian
-0.028 -0.201 0.196
-0.319 -2.290 2.236
-2.316 -2.788 4.363
-1.969 -0.297 1.931

***

Entry 5:
Sc2CrW (PBE, relaxed); crystal system = monoclinic; uncorrected energy = -8.521 eV/atom; ΔH_f (0 K) = 1.15 eV per formula unit; relative energy among the computed polymorphs = 0.165 eV/atom
1.0
-2.172 0.992 -3.491
-2.446 0.374 1.628
0.398 5.709 1.375
Cr Sc W
1 2 1
Cartesian
-2.560 4.873 0.415
-2.034 5.891 2.940
-1.553 2.197 -0.972
-1.146 3.238 1.633

***

Entry 6:
ScCr2W (PBE, relaxed); crystal system = tetragonal; uncorrected energy = -9.379 eV/atom; ΔH_f (0 K) = 1.02 eV per formula unit; relative energy among the computed polymorphs = 0.047 eV/atom
1.0
4.417 0.011 0.000
-0.012 4.417 0.000
0.000 0.000 3.102
Cr W Sc
2 1 1
Cartesian
2.203 2.214 0.000
0.000 0.000 0.000
-0.006 2.208 1.551
2.208 0.006 1.551